An optimized crystal structure of Pm2V2O7. Source: Alexandria, functional GGA+U.

a b c (Å): 5.0872 5.0872 5.1968
angles (deg): 90.00 90.00 96.39
Last column: nearest neighbours and their distance in Å.
Atoms (fractional coordinates):
1 Pm 0.2452 0.2452 0.0000  6 O 2.26-2.35
2 Pm 0.7548 0.7548 0.0000  6 O 2.26-2.35
3 V 0.2733 0.7267 0.5000  7 O 2.07-2.09
4 V 0.7267 0.2733 0.5000  7 O 2.07-2.09
5 O 0.0000 0.0000 0.5000  2 V 2.07
6 O 0.0000 0.5000 0.2674  2 V 2.09
7 O 0.0000 0.5000 0.7326  2 V 2.09
8 O 0.5000 0.0000 0.2674  2 V 2.09
9 O 0.5000 0.0000 0.7326  2 V 2.09
10 O 0.5000 0.5000 0.2791  2 V 2.07, 2 Pm 2.26, 1 O 2.30
11 O 0.5000 0.5000 0.7209  2 V 2.07, 2 Pm 2.26, 1 O 2.30

Summary:
The total DFT energy (no corrections) is -7.738 eV/atom. The calculated volume comes out at 12.2 A^3/atom.